Computed, not measured: a geometry-optimized LiTbNdCu structure at the GGA-PBE level of DFT.

Cell: 5.126 5.126 5.126 Å, 60.00 60.00 60.00°
Sites, in units of the cell vectors:
Li (0.000, 0.000, 0.000)
Tb (0.250, 0.250, 0.250)
Nd (0.750, 0.750, 0.750)
Cu (0.500, 0.500, 0.500)

VASP energy: -3.8507 eV per atom
N(E_F): 1.2727 states/eV/atom
Space-group type: F-43m, No. 216
Calculated formation energy: 0 kJ/mol of formula units



Computed, not measured: a geometry-optimized LiNdThCu structure at the GGA-PBE level of DFT.

Cell: 5.147 5.147 5.147 Å, 60.00 60.00 60.00°
Sites, in units of the cell vectors:
Li (0.000, 0.000, 0.000)
Nd (0.250, 0.250, 0.250)
Th (0.750, 0.750, 0.750)
Cu (0.500, 0.500, 0.500)

VASP energy: -4.4385 eV per atom
N(E_F): 1.7749 states/eV/atom
Space-group type: F-43m, No. 216
Calculated formation energy: 43 kJ/mol of formula units



Computed, not measured: a geometry-optimized LiNdYCu structure at the GGA-PBE level of DFT.

Cell: 5.127 5.127 5.127 Å, 60.00 60.00 60.00°
Sites, in units of the cell vectors:
Li (0.000, 0.000, 0.000)
Nd (0.250, 0.250, 0.250)
Y (0.750, 0.750, 0.750)
Cu (0.500, 0.500, 0.500)

VASP energy: -4.3180 eV per atom
N(E_F): 1.2839 states/eV/atom
Space-group type: F-43m, No. 216
Calculated formation energy: -3 kJ/mol of formula units



Computed, not measured: a geometry-optimized LiNdZnCu2 structure at the GGA-PBE level of DFT.

Cell: 6.578 6.578 6.578 Å, 145.61 145.61 49.43°
Sites, in units of the cell vectors:
Li (0.000, 0.000, 0.000)
Nd (0.250, 0.750, 0.500)
Zn (0.500, 0.500, 0.000)
Cu (0.644, 0.144, 0.500)
Cu (0.856, 0.356, 0.500)

VASP energy: -3.4021 eV per atom
N(E_F): 0.5726 states/eV/atom
Space-group type: I-4m2, No. 119
Calculated formation energy: -83 kJ/mol of formula units



Q: Among the records above, which one has the highest VASP energy?
A: LiNdZnCu2



Q: Among the records above, which one has the lowest N(E_F)?
A: LiNdZnCu2



Q: Which formula does entry 1 have?
A: LiTbNdCu